Record 1
Density functional theory data (PBE-GGA) for an optimized crystal structure of CrNi2N.

Computed properties:
Formation energy from raw total energies in eV per atom: 1.1236
Space-group type: Fm-3m
Distance to the lowest polymorph of the same formula in meV/atom: 843

abc: 3.877 3.877 3.877
angles: 60.00 60.00 60.00
Atoms (fractional coordinates):
Ni 0.250 0.250 0.250
Ni 0.750 0.750 0.750
N 0.000 0.000 0.000
Cr 0.500 0.500 0.500


Record 2
Density functional theory data (PBE-GGA) for an optimized crystal structure of Sc2BeOs.

Computed properties:
Space-group type: I-42d
E_form in kJ/mol of atoms: 28.31

abc: 7.203 7.203 5.738
angles: 51.12 51.12 90.00
Atoms (fractional coordinates):
Sc 0.628 0.125 0.250
Sc 0.122 0.625 0.250
Sc 0.375 0.372 0.750
Sc 0.875 0.878 0.750
Be 0.500 0.500 0.000
Be 0.250 0.750 0.500
Os 0.000 0.000 0.000
Os 0.750 0.250 0.500


Record 3
Density functional theory data (PBE-GGA) for an optimized crystal structure of Zr2CdP.

Computed properties:
Space-group type: Cmmm
Distance to the lowest polymorph of the same formula in meV/atom: 183
E_form in kJ/mol of atoms: -52.98

abc: 3.165 3.165 8.195
angles: 90.00 90.00 102.84
Atoms (fractional coordinates):
Zr 0.000 0.000 0.207
Zr 0.000 0.000 0.793
Cd 0.500 0.500 0.500
P 0.500 0.500 0.000


Record 4
Density functional theory data (PBE-GGA) for an optimized crystal structure of Er4GaHgAu2.

Computed properties:
Space-group type: R-3m
E_form in kJ/mol of atoms: -66.79

abc: 5.090 5.090 8.814
angles: 73.22 73.22 60.00
Atoms (fractional coordinates):
Er 0.377 0.377 0.869
Er 0.873 0.873 0.381
Er 0.127 0.127 0.619
Er 0.623 0.623 0.131
Ga 0.500 0.500 0.500
Hg 0.000 0.000 0.000
Au 0.750 0.750 0.750
Au 0.250 0.250 0.250


Record 5
Density functional theory data (PBE-GGA) for an optimized crystal structure of DyAs2Rh5Pb.

Computed properties:
Space-group type: P4/mmm
E_form in kJ/mol of atoms: -52.70

abc: 4.183 4.183 8.847
angles: 90.00 90.00 90.00
Atoms (fractional coordinates):
Dy 0.000 0.000 0.000
As 0.500 0.500 0.142
As 0.500 0.500 0.858
Rh 0.000 0.500 0.272
Rh 0.500 0.000 0.272
Rh 0.000 0.500 0.728
Rh 0.500 0.000 0.728
Rh 0.500 0.500 0.500
Pb 0.000 0.000 0.500


Record 6
Density functional theory data (PBE-GGA) for an optimized crystal structure of Li3Ga4Cu4.

Computed properties:
Space-group type: P-1
Distance to the lowest polymorph of the same formula in meV/atom: 0
E_form in kJ/mol of atoms: -18.82

abc: 2.682 4.224 13.496
angles: 81.12 84.30 90.15
Atoms (fractional coordinates):
Li 0.145 0.646 0.706
Li 0.855 0.354 0.294
Li 0.000 0.000 0.000
Ga 0.555 0.553 0.895
Ga 0.445 0.447 0.105
Ga 0.319 0.821 0.360
Ga 0.681 0.179 0.640
Cu 0.101 0.093 0.814
Cu 0.266 0.266 0.470
Cu 0.734 0.734 0.530
Cu 0.899 0.907 0.186


Record 7
Density functional theory data (PBE-GGA) for an optimized crystal structure of YMgBS2.

Computed properties:
Formation energy from raw total energies in eV per atom: 0.2268
Space-group type: P4/mmm

abc: 5.221 4.733 5.221
angles: 90.00 90.00 90.00
Atoms (fractional coordinates):
Y 0.000 0.000 0.000
S 0.000 0.000 0.500
S 0.500 0.000 0.000
B 0.000 0.500 0.000
Mg 0.500 0.500 0.500


Record 8
Density functional theory data (PBE-GGA) for an optimized crystal structure of NbAs3Cl.

Computed properties:
Formation energy from raw total energies in eV per atom: 0.1689
Space-group type: Pm-3m
Distance to the lowest polymorph of the same formula in meV/atom: 0

abc: 5.000 5.000 5.000
angles: 90.00 90.00 90.00
Atoms (fractional coordinates):
Nb 0.000 0.000 0.000
As 0.000 0.500 0.000
As 0.000 0.000 0.500
As 0.500 0.000 0.000
Cl 0.500 0.500 0.500


Record 9
Density functional theory data (PBE-GGA) for an optimized crystal structure of LiBPb2.

Computed properties:
Space-group type: I-42d
E_form in kJ/mol of atoms: 45.59

abc: 8.617 8.617 6.564
angles: 48.98 48.98 90.00
Atoms (fractional coordinates):
Pb 0.742 0.125 0.250
Pb 0.008 0.625 0.250
Pb 0.375 0.258 0.750
Pb 0.875 0.992 0.750
B 0.000 0.000 0.000
B 0.750 0.250 0.500
Li 0.500 0.500 0.000
Li 0.250 0.750 0.500


Record 10
Density functional theory data (PBE-GGA) for an optimized crystal structure of ZnMo3H.

Computed properties:
Space-group type: Pm-3m
Distance to the lowest polymorph of the same formula in meV/atom: 0

abc: 3.998 3.998 3.998
angles: 90.00 90.00 90.00
Atoms (fractional coordinates):
H 0.000 0.000 0.000
Mo 0.000 0.500 0.000
Mo 0.000 0.000 0.500
Mo 0.500 0.000 0.000
Zn 0.500 0.500 0.500


Record 11
Density functional theory data (PBE-GGA) for an optimized crystal structure of FeIr2Au.

Computed properties:
Space-group type: I-42d
Distance to the lowest polymorph of the same formula in meV/atom: 531
E_form in kJ/mol of atoms: 63.38

abc: 7.021 7.021 5.587
angles: 51.08 51.08 90.00
Atoms (fractional coordinates):
Ir 0.573 0.125 0.250
Ir 0.177 0.625 0.250
Ir 0.375 0.427 0.750
Ir 0.875 0.823 0.750
Au 0.000 0.000 0.000
Au 0.750 0.250 0.500
Fe 0.500 0.500 0.000
Fe 0.250 0.750 0.500


Record 12
Density functional theory data (PBE-GGA) for an optimized crystal structure of Tc2GeSbMo.

Computed properties:
Formation energy from raw total energies in eV per atom: 1.4541
Space-group type: P4/mmm

abc: 4.760 5.134 4.760
angles: 90.00 90.00 90.00
Each line ends with the local moment (μB).
Atoms (fractional coordinates):
Sb 0.000 0.500 0.000  0.02
Mo 0.000 0.000 0.000  -0.30
Ge 0.500 0.500 0.500  -0.07
Tc 0.000 0.000 0.500  1.29
Tc 0.500 0.000 0.000  1.18


Computed calculated density, in the same sequence as the records: 7.39; 7.00; 6.76; 11.87; 11.09; 6.12; 2.42; 4.69; 7.91; 9.21; 16.75; 6.94 Mg/m³.
Computed electronic total energy, in the same sequence as the records: -6.254; -6.611; -6.404; -4.209; -6.587; -3.307; -4.371; -5.004; -3.529; -7.266; -6.709; -6.606 eV/atom.